Record 1
The following is a PBE-GGA calculation of an optimized crystal structure of Pa3Ge4Os2, from the Alexandria database.

The energy above the lowest structure with this stoichiometry comes out at 11.397 kcal/mol of atoms. As for the formation energy: 0.2 eV/f.u. The calculation puts the total energy at -69.2 eV/f.u.

The structure belongs to space group Immm (No. 71); the cell edges are 4.1562, 7.0324 and 12.7720 Å and the angles 90.00°, 90.00° and 90.00°. The inequivalent atoms are Pa at (0.0000, 0.0000, 0.0000), Pa at (0.0000, 0.2004, 0.5000), Ge at (0.0000, 0.2621, 0.1782) and Os at (0.0000, 0.5000, 0.3349).

Record 2
The following is a PBE-GGA calculation of an optimized crystal structure of Ba4SrRu3O12, from the Alexandria database.

The calculation puts the total energy at -133.7 eV/f.u.

The structure belongs to space group Im-3m (No. 229); the cell edges are 8.4323, 8.4323 and 8.4323 Å and the angles 90.00°, 90.00° and 90.00°. The inequivalent atoms are Ba at (0.2500, 0.2500, 0.2500), Sr at (0.0000, 0.0000, 0.0000), Ru at (0.0000, 0.0000, 0.5000), O at (0.0000, 0.0000, 0.2747) and O at (0.0000, 0.2500, 0.5000).

Record 3
The following is a PBE-GGA calculation of an optimized crystal structure of DyMgZrHg, from the Alexandria database.

As for the formation energy: -0.4 eV/f.u. The calculation puts the total energy at -15.4 eV/f.u.

The structure belongs to space group F-43m (No. 216); the cell edges are 7.2483, 7.2483 and 7.2483 Å and the angles 90.00°, 90.00° and 90.00°. The inequivalent atoms are Dy at (0.0000, 0.0000, 0.0000), Mg at (0.2500, 0.2500, 0.2500), Zr at (0.0000, 0.0000, 0.5000) and Hg at (0.2500, 0.2500, 0.7500).

Record 4
The following is a PBE-GGA calculation of an optimized crystal structure of La2Sm, from the Alexandria database.

The energy above the lowest structure with this stoichiometry comes out at 4.630 kcal/mol of atoms. As for the formation energy: 0.7 eV/f.u. The calculation puts the total energy at -13.9 eV/f.u.

The structure belongs to space group Fd-3m (No. 227, origin choice 2); the cell edges are 9.5515, 9.5515 and 9.5515 Å and the angles 90.00°, 90.00° and 90.00°. The inequivalent atoms are La at (0.0000, 0.0000, 0.0000) and Sm at (0.1250, 0.1250, 0.6250).

What are the density of states at the Fermi level values for these records? In order: 8.45; 5.84; 5.24; 5.56 states/eV/f.u..